Below is a relaxed SrNbP crystal, with properties calculated at the PBE level.

Lattice parameters (Å, degrees): 3.9403 3.9579 9.9664 90.00 90.00 90.00
Fractional coordinates of all 6 atoms:
Sr  0.2500  0.2500  0.1878
Sr  0.7500  0.7500  0.8122
Nb  0.2500  0.7500  0.5003
Nb  0.7500  0.2500  0.4997
P  0.2500  0.2500  0.6732
P  0.7500  0.7500  0.3268

Results
Crystal system: orthorhombic
Total magnetization in μB/cell: 0.00
DFT total energy in eV/atom: -6.530
ρ in g/cm3: 4.5